Below is an optimized crystal structure of La12SnPb4N3, with properties calculated at the PBE-GGA level. Values from VASP.

Output
Energy relative to the elements, uncorrected   -1365 kJ/mol of formula units

The structure in Quantum ESPRESSO input format:
```
&SYSTEM
  ibrav = 0, nat = 20, ntyp = 4
/
ATOMIC_SPECIES
La 138.91 La.upf
Pb 207.20 Pb.upf
N 14.01 N.upf
Sn 118.71 Sn.upf
CELL_PARAMETERS angstrom
-3.403 8.252 -2.431
-5.775 -6.664 -2.799
0.911 -0.371 9.199
ATOMIC_POSITIONS crystal
La 0.250 0.500 0.750
La 0.000 0.722 0.722
Pb 0.500 0.000 0.000
La 0.750 0.500 0.250
La 0.750 0.250 0.500
La 0.278 0.278 0.000
La 0.500 0.250 0.750
La 0.722 0.722 0.000
N 0.500 0.500 0.000
Pb 0.000 0.000 0.500
La 0.278 0.000 0.278
La 0.000 0.278 0.278
La 0.722 0.000 0.722
La 0.500 0.750 0.250
La 0.250 0.750 0.500
Sn 0.000 0.000 0.000
N 0.000 0.500 0.500
Pb 0.500 0.500 0.500
N 0.500 0.000 0.500
Pb 0.000 0.500 0.000
```